A plane-wave DFT calculation with PBE was carried out for Pr3Tm2In after structural relaxation.

a b c (Å): 4.925 5.031 8.016
angles (deg): 108.29 90.00 90.00
Atoms (fractional coordinates):
Pr (0.500, 0.170, 0.340)
Pr (0.500, 0.500, 0.000)
Pr (0.500, 0.830, 0.660)
Tm (0.000, 0.663, 0.326)
Tm (0.000, 0.337, 0.674)
In (0.000, 0.000, 0.000)

Output
Fermi-level density of states	7.7	states/eV/cell
ΔE_f	-0.151	eV per atom
final energy	-4.4880	eV per atom
space-group type	Cmmm (65)